K2PuWN4: relaxed, PBE-GGA.

Calculated values
Its total energy is -8.434 eV per atom.

Unit cell a=6.060 b=6.060 c=6.060 alpha=120.84 beta=120.84 gamma=88.56
Each line ends with the local moment (μB).
Element x y z (fractional)
K: 0.750 0.250 0.500  0.01
K: 0.500 0.500 0.000  0.00
N: 0.265 0.406 0.414  -0.10
N: 0.992 0.851 0.586  -0.10
N: 0.149 0.735 0.142  -0.10
N: 0.594 0.008 0.858  -0.10
W: 0.250 0.750 0.500  0.02
Pu: 0.000 0.000 0.000  4.22